1.
VASP calculation (PBE) on a geometry-optimized LiMg3Te structure.

Structure (CIF):
```
data_LiMg3Te
_space_group_name_H-M_alt 'P m -3 m'
_space_group_IT_number 221
_space_group_name_Hall '-P 4 2 3'
_cell_length_a 5.029
_cell_length_b 5.029
_cell_length_c 5.029
_cell_angle_alpha 90.00
_cell_angle_beta 90.00
_cell_angle_gamma 90.00
loop_
_atom_site_label
_atom_site_type_symbol
_atom_site_fract_x
_atom_site_fract_y
_atom_site_fract_z
Li1 Li 0.000 0.000 0.000
Mg1 Mg 0.000 0.000 0.500
Te1 Te 0.500 0.500 0.500
```

Values from the calculation:
Raw formation energy (eV/atom): 0.191
V (Å³ per atom): 25.4
Magnetization (μB/f.u.): 0.00

2.
VASP calculation (PBE) on a geometry-optimized Ac2PmBe3Pd12 structure.

Structure (CIF):
```
data_Ac2PmBe3Pd12
_space_group_name_H-M_alt 'R -3 m'
_space_group_IT_number 166
_space_group_name_Hall '-R 3 2"'
_cell_length_a 7.7248
_cell_length_b 7.7248
_cell_length_c 19.8229
_cell_angle_alpha 90.00
_cell_angle_beta 90.00
_cell_angle_gamma 120.00
loop_
_atom_site_label
_atom_site_type_symbol
_atom_site_fract_x
_atom_site_fract_y
_atom_site_fract_z
Ac1 Ac 0.0000 0.0000 0.0999
Pm1 Pm 0.0000 0.0000 0.5000
Be1 Be 0.0000 0.5000 0.0000
Pd1 Pd 0.0586 0.5293 0.3022
Pd2 Pd 0.0852 0.5426 0.8929
```

Values from the calculation:
ΔE_f (eV per atom): -0.43
V (Å³ per atom): 19.0
Magnetization (μB/f.u.): 0.00

3.
VASP calculation (PBE) on a geometry-optimized Er4CoTc structure.

Structure (CIF):
```
data_Er4CoTc
_space_group_name_H-M_alt 'P 1 21/m 1'
_space_group_IT_number 11
_cell_length_a 5.848
_cell_length_b 6.420
_cell_length_c 7.889
_cell_angle_alpha 90.00
_cell_angle_beta 109.57
_cell_angle_gamma 90.00
loop_
_space_group_symop_operation_xyz
'x,y,z'
'-x,-y,-z'
'-x,y+1/2,-z'
'x,-y+1/2,z'
loop_
_atom_site_label
_atom_site_type_symbol
_atom_site_fract_x
_atom_site_fract_y
_atom_site_fract_z
Er1 Er 0.005 0.002 0.273
Er2 Er 0.416 0.250 0.095
Er3 Er 0.457 0.250 0.625
Co1 Co 0.248 0.750 0.565
Tc1 Tc 0.171 0.750 0.043
```

Values from the calculation:
ΔE_f (eV per atom): -0.09
V (Å³ per atom): 23.3
Magnetization (μB/f.u.): 0.00

4.
VASP calculation (PBE) on a geometry-optimized PmPuCoAg structure.

Structure (CIF):
```
data_PmPuCoAg
_space_group_name_H-M_alt 'F -4 3 m'
_space_group_IT_number 216
_space_group_name_Hall 'F -4 2 3'
_cell_length_a 7.109
_cell_length_b 7.109
_cell_length_c 7.109
_cell_angle_alpha 90.00
_cell_angle_beta 90.00
_cell_angle_gamma 90.00
loop_
_atom_site_label
_atom_site_type_symbol
_atom_site_fract_x
_atom_site_fract_y
_atom_site_fract_z
Pm1 Pm 0.000 0.000 0.000
Pu1 Pu 0.000 0.000 0.500
Co1 Co 0.250 0.250 0.250
Ag1 Ag 0.250 0.250 0.750
```

Values from the calculation:
ΔE_f (eV per atom): 0.08
V (Å³ per atom): 22.5
Magnetization (μB/f.u.): 5.25

5.
VASP calculation (PBE) on a geometry-optimized TbHfIn structure.

Structure (CIF):
```
data_TbHfIn
_space_group_name_H-M_alt 'P -6 m 2'
_space_group_IT_number 187
_space_group_name_Hall 'P -6 2'
_cell_length_a 5.2151
_cell_length_b 5.2151
_cell_length_c 3.1062
_cell_angle_alpha 90.00
_cell_angle_beta 90.00
_cell_angle_gamma 120.00
loop_
_atom_site_label
_atom_site_type_symbol
_atom_site_fract_x
_atom_site_fract_y
_atom_site_fract_z
Tb1 Tb 0.0000 0.0000 0.0000
Hf1 Hf 0.6667 0.3333 0.0000
In1 In 0.3333 0.6667 0.5000
```

Values from the calculation:
ΔE_f (eV per atom): 0.14
V (Å³ per atom): 24.4
Magnetization (μB/f.u.): 0.00

6.
VASP calculation (PBE) on a geometry-optimized VNi2Cl structure.

Structure (CIF):
```
data_VNi2Cl
_space_group_name_H-M_alt 'I -4 2 d'
_space_group_IT_number 122
_space_group_name_Hall 'I -4 2bw'
_cell_length_a 5.841
_cell_length_b 5.841
_cell_length_c 7.784
_cell_angle_alpha 90.00
_cell_angle_beta 90.00
_cell_angle_gamma 90.00
loop_
_atom_site_label
_atom_site_type_symbol
_atom_site_fract_x
_atom_site_fract_y
_atom_site_fract_z
V1 V 0.000 0.000 0.000
Ni1 Ni 0.245 0.250 0.125
Cl1 Cl 0.000 0.000 0.500
```

Values from the calculation:
Raw formation energy (eV/atom): 0.570
V (Å³ per atom): 16.6
Magnetization (μB/f.u.): 0.00

7.
VASP calculation (PBE) on a geometry-optimized TlAg2Pd2 structure.

Structure (CIF):
```
data_TlAg2Pd2
_space_group_name_H-M_alt 'I m m a'
_space_group_IT_number 74
_space_group_name_Hall '-I 2b 2'
_cell_length_a 4.711
_cell_length_b 5.931
_cell_length_c 13.374
_cell_angle_alpha 90.00
_cell_angle_beta 90.00
_cell_angle_gamma 90.00
loop_
_atom_site_label
_atom_site_type_symbol
_atom_site_fract_x
_atom_site_fract_y
_atom_site_fract_z
Tl1 Tl 0.000 0.250 0.131
Ag1 Ag 0.000 0.250 0.503
Ag2 Ag 0.000 0.250 0.869
Pd1 Pd 0.000 0.003 0.683
```

Values from the calculation:
ΔE_f (eV per atom): -0.06
V (Å³ per atom): 18.7
Magnetization (μB/f.u.): 0.00

8.
VASP calculation (PBE) on a geometry-optimized Zr4AlIn structure.

Structure (CIF):
```
data_Zr4AlIn
_space_group_name_H-M_alt 'F -4 3 m'
_space_group_IT_number 216
_space_group_name_Hall 'F -4 2 3'
_cell_length_a 8.165
_cell_length_b 8.165
_cell_length_c 8.165
_cell_angle_alpha 90.00
_cell_angle_beta 90.00
_cell_angle_gamma 90.00
loop_
_atom_site_label
_atom_site_type_symbol
_atom_site_fract_x
_atom_site_fract_y
_atom_site_fract_z
Zr1 Zr 0.124 0.124 0.124
Al1 Al 0.250 0.250 0.750
In1 In 0.000 0.000 0.500
```

Values from the calculation:
ΔE_f (eV per atom): 0.20
V (Å³ per atom): 22.7
Magnetization (μB/f.u.): 0.00

9.
VASP calculation (PBE) on a geometry-optimized YRe2As structure.

Structure (CIF):
```
data_YRe2As
_space_group_name_H-M_alt 'P 4/m m m'
_space_group_IT_number 123
_space_group_name_Hall '-P 4 2'
_cell_length_a 3.135
_cell_length_b 3.135
_cell_length_c 7.315
_cell_angle_alpha 90.00
_cell_angle_beta 90.00
_cell_angle_gamma 90.00
loop_
_atom_site_label
_atom_site_type_symbol
_atom_site_fract_x
_atom_site_fract_y
_atom_site_fract_z
Y1 Y 0.000 0.000 0.000
Re1 Re 0.500 0.500 0.309
As1 As 0.000 0.000 0.500
```

Values from the calculation:
ΔE_f (eV per atom): 0.39
V (Å³ per atom): 18.0
Magnetization (μB/f.u.): 0.00

10.
VASP calculation (PBE) on a geometry-optimized KCd12In6 structure.

Structure (CIF):
```
data_KCd12In6
_space_group_name_H-M_alt 'R -3 m'
_space_group_IT_number 166
_space_group_name_Hall '-R 3 2"'
_cell_length_a 13.2754
_cell_length_b 13.2754
_cell_length_c 10.2223
_cell_angle_alpha 90.00
_cell_angle_beta 90.00
_cell_angle_gamma 120.00
loop_
_atom_site_label
_atom_site_type_symbol
_atom_site_fract_x
_atom_site_fract_y
_atom_site_fract_z
K1 K 0.0000 0.0000 0.0000
Cd1 Cd 0.0000 0.3915 0.5000
Cd2 Cd 0.0797 0.1595 0.2957
In1 In 0.0522 0.5261 0.2333
```

Values from the calculation:
ΔE_f (eV per atom): 0.04
V (Å³ per atom): 27.4
Magnetization (μB/f.u.): 0.00

11.
VASP calculation (PBE) on a geometry-optimized K2NaSb3Pt4 structure.

Structure (CIF):
```
data_K2NaSb3Pt4
_space_group_name_H-M_alt 'P -4 m 2'
_space_group_IT_number 115
_cell_length_a 4.717
_cell_length_b 4.717
_cell_length_c 10.743
_cell_angle_alpha 90.00
_cell_angle_beta 90.00
_cell_angle_gamma 90.00
loop_
_space_group_symop_operation_xyz
'x,y,z'
'y,-x,-z'
'-x,-y,z'
'-y,x,-z'
'-x,y,z'
'-y,-x,-z'
'x,-y,z'
'y,x,-z'
loop_
_atom_site_label
_atom_site_type_symbol
_atom_site_fract_x
_atom_site_fract_y
_atom_site_fract_z
K1 K 0.000 0.500 0.249
Na1 Na 0.500 0.500 0.000
Sb1 Sb 0.000 0.000 0.000
Sb2 Sb 0.000 0.500 0.623
Pt1 Pt 0.000 0.000 0.500
Pt2 Pt 0.000 0.500 0.868
Pt3 Pt 0.500 0.500 0.500
```

Values from the calculation:
Raw formation energy (eV/atom): -0.444
V (Å³ per atom): 23.9
Magnetization (μB/f.u.): 0.00

12.
VASP calculation (PBE) on a geometry-optimized Zr2TlTe structure.

Structure (CIF):
```
data_Zr2TlTe
_space_group_name_H-M_alt 'P 4 m m'
_space_group_IT_number 99
_cell_length_a 3.951
_cell_length_b 3.951
_cell_length_c 6.212
_cell_angle_alpha 90.00
_cell_angle_beta 90.00
_cell_angle_gamma 90.00
loop_
_space_group_symop_operation_xyz
'x,y,z'
'-y,x,z'
'-x,-y,z'
'y,-x,z'
'-x,y,z'
'y,x,z'
'x,-y,z'
'-y,-x,z'
loop_
_atom_site_label
_atom_site_type_symbol
_atom_site_fract_x
_atom_site_fract_y
_atom_site_fract_z
Zr1 Zr 0.000 0.000 0.000
Zr2 Zr 0.500 0.500 0.291
Tl1 Tl 0.500 0.500 0.809
Te1 Te 0.000 0.000 0.478
```

Values from the calculation:
Raw formation energy (eV/atom): -0.303
V (Å³ per atom): 24.2
Magnetization (μB/f.u.): 0.00

13.
VASP calculation (PBE) on a geometry-optimized Nd2Sm4Mg structure.

Structure (CIF):
```
data_Nd2Sm4Mg
_space_group_name_H-M_alt 'P -4 2 m'
_space_group_IT_number 111
_cell_length_a 4.741
_cell_length_b 4.741
_cell_length_c 11.497
_cell_angle_alpha 90.00
_cell_angle_beta 90.00
_cell_angle_gamma 90.00
loop_
_space_group_symop_operation_xyz
'x,y,z'
'y,-x,-z'
'-x,-y,z'
'-y,x,-z'
'x,-y,-z'
'y,x,z'
'-x,y,-z'
'-y,-x,z'
loop_
_atom_site_label
_atom_site_type_symbol
_atom_site_fract_x
_atom_site_fract_y
_atom_site_fract_z
Nd1 Nd 0.000 0.500 0.000
Sm1 Sm 0.243 0.243 0.734
Mg1 Mg 0.500 0.500 0.500
```

Values from the calculation:
ΔE_f (eV per atom): 0.53
V (Å³ per atom): 36.9
Magnetization (μB/f.u.): 0.00

14.
VASP calculation (PBE) on a geometry-optimized CoSb2Mo structure.

Structure (CIF):
```
data_CoSb2Mo
_space_group_name_H-M_alt 'F m -3 m'
_space_group_IT_number 225
_space_group_name_Hall '-F 4 2 3'
_cell_length_a 6.553
_cell_length_b 6.553
_cell_length_c 6.553
_cell_angle_alpha 90.00
_cell_angle_beta 90.00
_cell_angle_gamma 90.00
loop_
_atom_site_label
_atom_site_type_symbol
_atom_site_fract_x
_atom_site_fract_y
_atom_site_fract_z
Co1 Co 0.000 0.000 0.000
Sb1 Sb 0.250 0.250 0.250
Mo1 Mo 0.000 0.000 0.500
```

Values from the calculation:
Raw formation energy (eV/atom): 0.352
V (Å³ per atom): 17.6
Magnetization (μB/f.u.): 0.00

15.
VASP calculation (PBE) on a geometry-optimized TiHg2SbI structure.

Structure (CIF):
```
data_TiHg2SbI
_space_group_name_H-M_alt 'P 4/m m m'
_space_group_IT_number 123
_space_group_name_Hall '-P 4 2'
_cell_length_a 5.684
_cell_length_b 5.684
_cell_length_c 5.984
_cell_angle_alpha 90.00
_cell_angle_beta 90.00
_cell_angle_gamma 90.00
loop_
_atom_site_label
_atom_site_type_symbol
_atom_site_fract_x
_atom_site_fract_y
_atom_site_fract_z
Ti1 Ti 0.000 0.000 0.000
Hg1 Hg 0.000 0.500 0.500
Sb1 Sb 0.500 0.500 0.000
I1 I 0.500 0.500 0.500
```

Values from the calculation:
Raw formation energy (eV/atom): 1.272
V (Å³ per atom): 38.7
Magnetization (μB/f.u.): 0.21

16.
VASP calculation (PBE) on a geometry-optimized CsAg2Au2 structure.

Structure (CIF):
```
data_CsAg2Au2
_space_group_name_H-M_alt 'I 4/m m m'
_space_group_IT_number 139
_space_group_name_Hall '-I 4 2'
_cell_length_a 4.593
_cell_length_b 4.593
_cell_length_c 12.464
_cell_angle_alpha 90.00
_cell_angle_beta 90.00
_cell_angle_gamma 90.00
loop_
_atom_site_label
_atom_site_type_symbol
_atom_site_fract_x
_atom_site_fract_y
_atom_site_fract_z
Cs1 Cs 0.000 0.000 0.000
Ag1 Ag 0.000 0.500 0.250
Au1 Au 0.000 0.000 0.388
```

Values from the calculation:
ΔE_f (eV per atom): 0.00
V (Å³ per atom): 26.3
Magnetization (μB/f.u.): 0.00

17.
VASP calculation (PBE) on a geometry-optimized CaAcCeEr structure.

Structure (CIF):
```
data_CaAcCeEr
_space_group_name_H-M_alt 'F -4 3 m'
_space_group_IT_number 216
_space_group_name_Hall 'F -4 2 3'
_cell_length_a 8.403
_cell_length_b 8.403
_cell_length_c 8.403
_cell_angle_alpha 90.00
_cell_angle_beta 90.00
_cell_angle_gamma 90.00
loop_
_atom_site_label
_atom_site_type_symbol
_atom_site_fract_x
_atom_site_fract_y
_atom_site_fract_z
Ca1 Ca 0.000 0.000 0.000
Ac1 Ac 0.250 0.250 0.750
Ce1 Ce 0.000 0.000 0.500
Er1 Er 0.250 0.250 0.250
```

Values from the calculation:
ΔE_f (eV per atom): 0.25
V (Å³ per atom): 37.1
Magnetization (μB/f.u.): 2.11

18.
VASP calculation (PBE) on a geometry-optimized Pr6Dy8Er structure.

Structure (CIF):
```
data_Pr6Dy8Er
_space_group_name_H-M_alt 'R -3'
_space_group_IT_number 148
_space_group_name_Hall '-R 3'
_cell_length_a 9.1521
_cell_length_b 9.1521
_cell_length_c 20.9766
_cell_angle_alpha 90.00
_cell_angle_beta 90.00
_cell_angle_gamma 120.00
loop_
_atom_site_label
_atom_site_type_symbol
_atom_site_fract_x
_atom_site_fract_y
_atom_site_fract_z
Pr1 Pr 0.0602 0.2488 0.2107
Dy1 Dy 0.0000 0.0000 0.0769
Dy2 Dy 0.0810 0.5575 0.3067
Er1 Er 0.0000 0.0000 0.5000
```

Values from the calculation:
ΔE_f (eV per atom): 0.12
V (Å³ per atom): 33.8
Magnetization (μB/f.u.): 0.00

19.
VASP calculation (PBE) on a geometry-optimized Tb2Tm3Cu3 structure.

Structure (CIF):
```
data_Tb2Tm3Cu3
_space_group_name_H-M_alt 'I m m m'
_space_group_IT_number 71
_space_group_name_Hall '-I 2 2'
_cell_length_a 3.509
_cell_length_b 5.031
_cell_length_c 20.764
_cell_angle_alpha 90.00
_cell_angle_beta 90.00
_cell_angle_gamma 90.00
loop_
_atom_site_label
_atom_site_type_symbol
_atom_site_fract_x
_atom_site_fract_y
_atom_site_fract_z
Tb1 Tb 0.000 0.000 0.225
Tm1 Tm 0.000 0.000 0.000
Tm2 Tm 0.000 0.500 0.115
Cu1 Cu 0.000 0.000 0.500
Cu2 Cu 0.000 0.500 0.388
```

Values from the calculation:
ΔE_f (eV per atom): -0.16
V (Å³ per atom): 22.9
Magnetization (μB/f.u.): 0.00

20.
VASP calculation (PBE) on a geometry-optimized PmZrHgIr structure.

Structure (CIF):
```
data_PmZrHgIr
_space_group_name_H-M_alt 'F -4 3 m'
_space_group_IT_number 216
_space_group_name_Hall 'F -4 2 3'
_cell_length_a 7.060
_cell_length_b 7.060
_cell_length_c 7.060
_cell_angle_alpha 90.00
_cell_angle_beta 90.00
_cell_angle_gamma 90.00
loop_
_atom_site_label
_atom_site_type_symbol
_atom_site_fract_x
_atom_site_fract_y
_atom_site_fract_z
Pm1 Pm 0.000 0.000 0.000
Zr1 Zr 0.000 0.000 0.500
Hg1 Hg 0.250 0.250 0.750
Ir1 Ir 0.250 0.250 0.250
```

Values from the calculation:
ΔE_f (eV per atom): -0.35
V (Å³ per atom): 22.0
Magnetization (μB/f.u.): 0.00